VASP calculation (PBE) on an optimized crystal structure of MgTc.

Calculated values
The value obtained for the density is 6.062 g/cm³. The space group is No. 194. The spin magnetization is 0.00 Bohr magnetons per cell. As for the density of states at the Fermi level: 0.7984 states/eV per atom. Its formation energy is 416 meV/atom.

Unit cell a=4.521 b=4.521 c=7.570 alpha=90.00 beta=90.00 gamma=120.00
Positions (direct):
Mg1 0.000 0.000 0.250
Mg2 0.000 0.000 0.750
Mg3 0.333 0.667 0.250
Mg4 0.667 0.333 0.750
Tc1 0.333 0.667 0.586
Tc2 0.333 0.667 0.914
Tc3 0.667 0.333 0.086
Tc4 0.667 0.333 0.414